# 1
Here is a relaxed structure of CdAg2Se from the Alexandria database. Energies are from GGA-PBE.

Structure (CIF):
```
data_CdAg2Se
_cell_length_a 3.2424
_cell_length_b 3.2424
_cell_length_c 26.6372
_cell_angle_alpha 90.00
_cell_angle_beta 90.00
_cell_angle_gamma 120.00
_space_group_name_H-M_alt 'R 3 m'
_space_group_IT_number 160
_space_group_name_Hall 'R 3 -2"'
loop_
_atom_site_label
_atom_site_type_symbol
_atom_site_fract_x
_atom_site_fract_y
_atom_site_fract_z
_atom_site_occupancy
Cd1 Cd 0.0000 0.0000 0.0000 1
Ag1 Ag 0.0000 0.0000 0.4994 1
Ag2 Ag 0.0000 0.0000 0.7501 1
Se1 Se 0.0000 0.0000 0.2450 1
```

Computed properties:
The value obtained for the formation energy without anion corrections is 0.09 eV per atom. For the theoretical density, the calculation gives 8.4 Mg/m³.

# 2
Here is a relaxed structure of CdAgSe2 from the Alexandria database. Energies are from GGA-PBE.

Structure (CIF):
```
data_CdAgSe2
_cell_length_a 4.757
_cell_length_b 4.757
_cell_length_c 3.783
_cell_angle_alpha 90.00
_cell_angle_beta 90.00
_cell_angle_gamma 90.00
_space_group_name_H-M_alt 'P 4/m m m'
_space_group_IT_number 123
_space_group_name_Hall '-P 4 2'
loop_
_atom_site_label
_atom_site_type_symbol
_atom_site_fract_x
_atom_site_fract_y
_atom_site_fract_z
_atom_site_occupancy
Cd1 Cd 0.000 0.000 0.000 1
Ag1 Ag 0.500 0.500 0.000 1
Se1 Se 0.000 0.500 0.500 1
```

Computed properties:
The value obtained for the formation energy without anion corrections is 0.09 eV per atom. For the theoretical density, the calculation gives 7.3 Mg/m³.